# 1
Here is an optimized crystal structure of BaLuTeAuSe2 from OQMD via LeMat-Bulk. Energies are from GGA-PBE.

a = 7.7717 Å, b = 7.7717 Å, c = 10.9776 Å
α = 90.00°, β = 90.00°, γ = 148.67°
Fractional positions:
Ba1 0.2243 0.7757 0.7500
Ba2 0.7757 0.2243 0.2500
Lu1 0.0000 0.0000 0.0000
Lu2 0.0000 0.0000 0.5000
Te1 0.0908 0.9092 0.2500
Te2 0.9092 0.0908 0.7500
Au1 0.4675 0.5325 0.2500
Au2 0.5325 0.4675 0.7500
Se1 0.3725 0.6275 0.0493
Se2 0.3725 0.6275 0.4507
Se3 0.6275 0.3725 0.5493
Se4 0.6275 0.3725 0.9507

Output
The value obtained for the volume is 172 Å³/f.u. The calculation puts the calculated density at 7.7 g/cm³. The value obtained for the electronic total energy is -4.66 eV/atom.

=====

# 2
Here is an optimized crystal structure of BaSrLuAu from OQMD via LeMat-Bulk. Energies are from GGA-PBE.

a = 8.1678 Å, b = 8.1678 Å, c = 8.1678 Å
α = 90.00°, β = 90.00°, γ = 90.00°
Fractional positions:
Ba1 0.0000 0.0000 0.0000
Ba2 0.0000 0.5000 0.5000
Ba3 0.5000 0.0000 0.5000
Ba4 0.5000 0.5000 0.0000
Sr1 0.0000 0.0000 0.5000
Sr2 0.0000 0.5000 0.0000
Sr3 0.5000 0.0000 0.0000
Sr4 0.5000 0.5000 0.5000
Lu1 0.2500 0.2500 0.2500
Lu2 0.2500 0.7500 0.7500
Lu3 0.7500 0.2500 0.7500
Lu4 0.7500 0.7500 0.2500
Au1 0.2500 0.2500 0.7500
Au2 0.2500 0.7500 0.2500
Au3 0.7500 0.2500 0.2500
Au4 0.7500 0.7500 0.7500

Output
The value obtained for the volume is 136 Å³/f.u. For the polymorph energy (0 for the lowest one), the calculation gives 0.0418 eV/atom. The calculation puts the calculated density at 7.3 g/cm³.

=====

# 3
Here is an optimized crystal structure of BaSrLuAu from OQMD via LeMat-Bulk. Energies are from GGA-PBE.

a = 7.8351 Å, b = 7.8351 Å, c = 7.8351 Å
α = 90.00°, β = 90.00°, γ = 90.00°
Fractional positions:
Ba1 0.0000 0.0000 0.0000
Ba2 0.0000 0.5000 0.5000
Ba3 0.5000 0.0000 0.5000
Ba4 0.5000 0.5000 0.0000
Sr1 0.2500 0.2500 0.2500
Sr2 0.2500 0.7500 0.7500
Sr3 0.7500 0.2500 0.7500
Sr4 0.7500 0.7500 0.2500
Lu1 0.2500 0.2500 0.7500
Lu2 0.2500 0.7500 0.2500
Lu3 0.7500 0.2500 0.2500
Lu4 0.7500 0.7500 0.7500
Au1 0.0000 0.0000 0.5000
Au2 0.0000 0.5000 0.0000
Au3 0.5000 0.0000 0.0000
Au4 0.5000 0.5000 0.5000

Output
The value obtained for the volume is 120 Å³/f.u. For the polymorph energy (0 for the lowest one), the calculation gives 0.0000 eV/atom. The calculation puts the calculated density at 8.2 g/cm³.

=====

# 4
Here is an optimized crystal structure of BaMg2Au from OQMD via LeMat-Bulk. Energies are from GGA-PBE.

a = 7.6156 Å, b = 7.6156 Å, c = 7.6156 Å
α = 90.00°, β = 90.00°, γ = 90.00°
Fractional positions:
Ba1 0.0000 0.0000 0.0000
Ba2 0.0000 0.5000 0.5000
Ba3 0.5000 0.0000 0.5000
Ba4 0.5000 0.5000 0.0000
Mg1 0.0000 0.0000 0.5000
Mg2 0.0000 0.5000 0.0000
Mg3 0.2500 0.2500 0.7500
Mg4 0.2500 0.7500 0.2500
Mg5 0.5000 0.0000 0.0000
Mg6 0.5000 0.5000 0.5000
Mg7 0.7500 0.2500 0.2500
Mg8 0.7500 0.7500 0.7500
Au1 0.2500 0.2500 0.2500
Au2 0.2500 0.7500 0.7500
Au3 0.7500 0.2500 0.7500
Au4 0.7500 0.7500 0.2500

Output
The value obtained for the volume is 110 Å³/f.u. The calculation puts the calculated density at 5.8 g/cm³. The value obtained for the electronic total energy is -2.27 eV/atom.

=====

# 5
Here is an optimized crystal structure of BaMg2Au2 from OQMD via LeMat-Bulk. Energies are from GGA-PBE.

a = 4.5350 Å, b = 4.5350 Å, c = 12.4730 Å
α = 90.00°, β = 90.00°, γ = 90.00°
Fractional positions:
Ba1 0.0000 0.0000 0.0000
Ba2 0.5000 0.5000 0.5000
Mg1 0.0000 0.5000 0.2500
Mg2 0.0000 0.5000 0.7500
Mg3 0.5000 0.0000 0.2500
Mg4 0.5000 0.0000 0.7500
Au1 0.0000 0.0000 0.3792
Au2 0.0000 0.0000 0.6208
Au3 0.5000 0.5000 0.1208
Au4 0.5000 0.5000 0.8792

Output
The value obtained for the volume is 128 Å³/f.u. The calculation puts the calculated density at 7.5 g/cm³. The value obtained for the electronic total energy is -2.94 eV/atom.

=====

# 6
Here is an optimized crystal structure of BaMgAu from OQMD via LeMat-Bulk. Energies are from GGA-PBE.

a = 4.6179 Å, b = 4.6179 Å, c = 8.4361 Å
α = 90.00°, β = 90.00°, γ = 90.00°
Fractional positions:
Ba1 0.2500 0.2500 0.1599
Ba2 0.7500 0.7500 0.8401
Mg1 0.2500 0.7500 0.5000
Mg2 0.7500 0.2500 0.5000
Au1 0.2500 0.2500 0.6969
Au2 0.7500 0.7500 0.3031

Output
The value obtained for the volume is 90 Å³/f.u. The calculation puts the calculated density at 6.6 g/cm³. The value obtained for the electronic total energy is -2.80 eV/atom.

=====

What did the first record say?
Here is an optimized crystal structure of BaLuTeAuSe2 from OQMD via LeMat-Bulk. Energies are from GGA-PBE.

a = 7.7717 Å, b = 7.7717 Å, c = 10.9776 Å
α = 90.00°, β = 90.00°, γ = 148.67°
Fractional positions:
Ba1 0.2243 0.7757 0.7500
Ba2 0.7757 0.2243 0.2500
Lu1 0.0000 0.0000 0.0000
Lu2 0.0000 0.0000 0.5000
Te1 0.0908 0.9092 0.2500
Te2 0.9092 0.0908 0.7500
Au1 0.4675 0.5325 0.2500
Au2 0.5325 0.4675 0.7500
Se1 0.3725 0.6275 0.0493
Se2 0.3725 0.6275 0.4507
Se3 0.6275 0.3725 0.5493
Se4 0.6275 0.3725 0.9507

Output
The value obtained for the volume is 172 Å³/f.u. The calculation puts the calculated density at 7.7 g/cm³. The value obtained for the electronic total energy is -4.66 eV/atom.